i) # Pu2Hf2Sc7, relaxed, DFT PBE
data_Pu2Hf2Sc7
_symmetry_space_group_name_H-M 'P 1'
_symmetry_Int_Tables_number 1
_cell_length_a 5.9517
_cell_length_b 5.9517
_cell_length_c 7.8243
_cell_angle_alpha 99.48
_cell_angle_beta 99.48
_cell_angle_gamma 93.38
loop_
_symmetry_equiv_pos_as_xyz
'x,y,z'
loop_
_atom_site_label
_atom_site_type_symbol
_atom_site_fract_x
_atom_site_fract_y
_atom_site_fract_z
Pu1 Pu 0.1737 0.8263 0.0000
Pu2 Pu 0.8263 0.1737 0.0000
Hf1 Hf 0.1030 0.1030 0.3486
Hf2 Hf 0.8970 0.8970 0.6514
Sc1 Sc 0.0489 0.4142 0.7004
Sc2 Sc 0.3517 0.3517 0.0925
Sc3 Sc 0.4142 0.0489 0.7004
Sc4 Sc 0.5000 0.5000 0.5000
Sc5 Sc 0.5858 0.9511 0.2996
Sc6 Sc 0.6483 0.6483 0.9075
Sc7 Sc 0.9511 0.5858 0.2996
# Total moment: 11.93 μB per formula unit



ii) # Pu2Hf2Sc7, relaxed, DFT PBE
data_Pu2Hf2Sc7
_symmetry_space_group_name_H-M 'P 1'
_symmetry_Int_Tables_number 1
_cell_length_a 10.2722
_cell_length_b 10.2722
_cell_length_c 3.2245
_cell_angle_alpha 90.00
_cell_angle_beta 90.00
_cell_angle_gamma 127.38
loop_
_symmetry_equiv_pos_as_xyz
'x,y,z'
loop_
_atom_site_label
_atom_site_type_symbol
_atom_site_fract_x
_atom_site_fract_y
_atom_site_fract_z
Pu1 Pu 0.2305 0.2305 0.0000
Pu2 Pu 0.7695 0.7695 0.0000
Hf1 Hf 0.2230 0.7770 0.0000
Hf2 Hf 0.7770 0.2230 0.0000
Sc1 Sc 0.0864 0.9136 0.5000
Sc2 Sc 0.1379 0.4674 0.5000
Sc3 Sc 0.4674 0.1379 0.5000
Sc4 Sc 0.5000 0.5000 0.5000
Sc5 Sc 0.5326 0.8621 0.5000
Sc6 Sc 0.8621 0.5326 0.5000
Sc7 Sc 0.9136 0.0864 0.5000
# Total moment: 12.29 μB per formula unit



Pick the least stable structure from those above. Pick: ii)